Density functional theory data (PBE+U) for a relaxed structure of Li3MnCoO5.

The volume comes out at 175.29 Å³ per cell. The density of states at the Fermi level comes out at 3.8 states/eV per cell. The energy above the most stable polymorph in this dataset comes out at 230 meV per atom. As for the uncorrected energy: -5.73 eV per atom.

Geometry as CIF:
```
data_Li3MnCoO5
_chemical_formula_sum 'Li6 Mn2 Co2 O10'
_cell_length_a 2.866
_cell_length_b 2.866
_cell_length_c 24.716
_cell_angle_alpha 86.90
_cell_angle_beta 86.90
_cell_angle_gamma 59.92
_space_group_name_H-M_alt 'P 1'
_space_group_IT_number 1
_space_group_name_Hall 'P 1'
loop_
_atom_site_label
_atom_site_fract_x
_atom_site_fract_y
_atom_site_fract_z
Li1 0.694 0.694 0.904
Li2 0.306 0.306 0.096
Li3 0.894 0.894 0.309
Li4 0.500 0.500 0.500
Li5 0.106 0.106 0.691
Li6 0.000 0.000 0.000
Mn1 0.407 0.407 0.790
Mn2 0.593 0.593 0.210
Co1 0.197 0.197 0.405
Co2 0.803 0.803 0.595
O1 0.062 0.062 0.831
O2 0.651 0.651 0.055
O3 0.246 0.246 0.255
O4 0.851 0.851 0.446
O5 0.456 0.456 0.637
O6 0.349 0.349 0.945
O7 0.938 0.938 0.169
O8 0.544 0.544 0.363
O9 0.149 0.149 0.554
O10 0.754 0.754 0.745
```